DFT (PBE-GGA) results for crystalline NbAl2HPt at its relaxed geometry.

Cell and atoms, written as POSCAR:
```
NbAl2HPt
1.0
4.188 0.000 0.000
0.000 3.734 0.000
0.000 0.000 4.188
H Nb Al Pt
1 1 2 1
Direct
0.000 0.000 0.000
0.500 0.500 0.500
0.000 0.000 0.500
0.500 0.000 0.000
0.000 0.500 0.000
```

Properties
excess energy over the best structure of this formula in the dataset	55	meV/atom

DFT (PBE-GGA) results for crystalline NbAl2HPt at its relaxed geometry.

Cell and atoms, written as POSCAR:
```
NbAl2HPt
1.0
-0.860 4.802 0.833
-2.323 -0.776 2.075
3.306 -0.047 3.683
H Nb Al Pt
1 1 2 1
Direct
0.000 0.500 0.000
0.500 0.500 0.500
0.000 0.000 0.500
0.500 0.000 0.000
0.000 0.000 0.000
```

Properties
excess energy over the best structure of this formula in the dataset	511	meV/atom

DFT (PBE-GGA) results for crystalline NbAl2HPt at its relaxed geometry.

Cell and atoms, written as POSCAR:
```
NbAl2HPt
1.0
4.166 0.000 0.000
0.000 4.166 0.000
0.000 0.000 3.741
H Nb Al Pt
1 1 2 1
Direct
0.000 0.000 0.000
0.000 0.000 0.500
0.000 0.500 0.000
0.500 0.000 0.000
0.500 0.500 0.500
```

Properties
excess energy over the best structure of this formula in the dataset	0	meV/atom

DFT (PBE-GGA) results for crystalline Nb2AlHRh at its relaxed geometry.

Cell and atoms, written as POSCAR:
```
Nb2AlHRh
1.0
4.089 0.000 0.000
0.000 4.089 0.000
0.000 0.000 4.072
H Nb Rh Al
1 2 1 1
Direct
0.000 0.000 0.000
0.000 0.500 0.000
0.500 0.000 0.000
0.000 0.000 0.500
0.500 0.500 0.500
```

Properties
excess energy over the best structure of this formula in the dataset	0	meV/atom

| no. | DFT total energy (eV per atom) | V (Å³ per atom) |
| --- | --- | --- |
| 1 | -5.74 | 13.1 |
| 2 | -5.29 | 15.7 |
| 3 | -5.80 | 13.0 |
| 4 | -7.26 | 13.6 |